# YAlPd5

A relaxed structure of YAlPd5 (PBE, Alexandria via LeMat-Bulk).

Cell lengths 4.137, 4.137, 7.051 Å; angles 90.00, 90.00, 90.00 degrees
Positions (direct):
Y (0.000, 0.000, 0.500)
Al (0.500, 0.500, 0.000)
Pd (0.000, 0.500, 0.794)
Pd (0.000, 0.500, 0.206)
Pd (0.500, 0.000, 0.794)
Pd (0.500, 0.000, 0.206)
Pd (0.500, 0.500, 0.500)

Values from the calculation:
density of states at the Fermi level: 1.055 states/eV per cell
density: 8.92 g/cm³
spin magnetization: 0.000 Bohr magnetons per cell
energy of formation from the pure elements: -5.4 eV/f.u.

# Y2AlPd6

A relaxed structure of Y2AlPd6 (PBE, Alexandria via LeMat-Bulk).

Cell lengths 3.639, 7.579, 7.714 Å; angles 119.42, 103.66, 90.00 degrees
Positions (direct):
Y (0.647, 0.650, 0.300)
Y (0.353, 0.350, 0.700)
Al (0.000, 0.000, 0.000)
Pd (0.164, 0.368, 0.330)
Pd (0.836, 0.038, 0.670)
Pd (0.836, 0.632, 0.670)
Pd (0.500, 0.219, 0.000)
Pd (0.164, 0.962, 0.330)
Pd (0.500, 0.781, 0.000)

Values from the calculation:
density of states at the Fermi level: 3.907 states/eV per cell
density: 7.85 g/cm³
spin magnetization: 0.000 Bohr magnetons per cell
energy of formation from the pure elements: -5.4 eV/f.u.